Model i:
This record from Alexandria describes a geometry-optimized Pr2Y2Ho3 structure. The functional is PBE-GGA.

a = 3.5293 Å, b = 8.7813 Å, c = 8.5757 Å
α = 115.67°, β = 101.87°, γ = 90.00°
Last column: nearest neighbours and their distance in Å.
Fractional positions:
Pr  0.9199  0.7969  0.8399  3 Pr 3.39-3.53, 4 Ho 3.42-3.55, 2 Y 3.64
Pr  0.0801  0.2031  0.1601  3 Pr 3.39-3.53, 4 Ho 3.42-3.55, 2 Y 3.64
Y  0.6398  0.9062  0.2797  4 Y 3.53-3.76, 5 Ho 3.58-3.73, 4 Pr 3.64-3.81
Y  0.3602  0.0938  0.7203  4 Y 3.53-3.76, 5 Ho 3.58-3.73, 4 Pr 3.64-3.81
Ho  0.0000  0.5000  0.0000  4 Ho 3.33-3.53, 2 Pr 3.42, 4 Y 3.73
Ho  0.2202  0.6462  0.4405  5 Ho 3.33-3.60, 3 Pr 3.49-3.55, 3 Y 3.58-3.59
Ho  0.7798  0.3538  0.5595  5 Ho 3.33-3.60, 3 Pr 3.49-3.55, 3 Y 3.58-3.59

Values from the calculation:
* size of the total moment: 0.000 μB/cell
* space group: No. 12
* crystal system: monoclinic
* D(E_F): 1.7011 states/eV/atom

***

Model ii:
This record from Alexandria describes a geometry-optimized Pr2Y2Ho3 structure. The functional is PBE-GGA.

a = 8.4887 Å, b = 8.4887 Å, c = 8.4887 Å
α = 109.47°, β = 109.47°, γ = 109.47°
Last column: nearest neighbours and their distance in Å.
Fractional positions:
Pr  0.0000  0.0000  0.8142  1 Y 3.40, 3 Ho 3.50, 3 Pr 3.58
Pr  0.5000  0.8142  0.5000  1 Y 3.40, 3 Ho 3.50, 3 Pr 3.58
Pr  0.1858  0.6858  0.6858  1 Y 3.40, 3 Ho 3.50, 3 Pr 3.58
Pr  0.3142  0.5000  0.0000  1 Y 3.40, 3 Ho 3.50, 3 Pr 3.58
Y  0.0000  0.0000  0.4136  6 Ho 3.26-3.31, 1 Pr 3.40
Y  0.5000  0.4136  0.5000  6 Ho 3.26-3.31, 1 Pr 3.40
Y  0.5864  0.0864  0.0864  6 Ho 3.26-3.31, 1 Pr 3.40
Y  0.9136  0.5000  0.0000  6 Ho 3.26-3.31, 1 Pr 3.40
Ho  0.6934  0.7500  0.9434  4 Y 3.26-3.31, 2 Pr 3.50
Ho  0.8066  0.2500  0.5566  4 Y 3.26-3.31, 2 Pr 3.50
Ho  0.0566  0.3066  0.2500  4 Y 3.26-3.31, 2 Pr 3.50
Ho  0.4434  0.1934  0.7500  4 Y 3.26-3.31, 2 Pr 3.50
Ho  0.2500  0.9434  0.1934  4 Y 3.26-3.31, 2 Pr 3.50
Ho  0.7500  0.5566  0.3066  4 Y 3.26-3.31, 2 Pr 3.50

Values from the calculation:
* size of the total moment: 0.000 μB/cell
* space group: No. 199
* crystal system: cubic
* D(E_F): 1.4169 states/eV/atom

***

Stability check: which of them is most stable? model i.

***

Model i:
This record from Alexandria describes a geometry-optimized PrY8Ho6 structure. The functional is PBE-GGA.

a = 6.5443 Å, b = 9.4346 Å, c = 9.4346 Å
α = 120.00°, β = 90.00°, γ = 90.00°
Last column: nearest neighbours and their distance in Å.
Fractional positions:
Pr  0.5000  0.0000  0.0000  6 Ho 3.60
Y  0.9021  0.9728  0.3118  4 Ho 3.22-3.58, 5 Y 3.33-3.56
Y  0.9021  0.6882  0.6610  4 Ho 3.22-3.58, 5 Y 3.33-3.56
Y  0.9021  0.3390  0.0272  4 Ho 3.22-3.58, 5 Y 3.33-3.56
Y  0.0979  0.0272  0.6882  4 Ho 3.22-3.58, 5 Y 3.33-3.56
Y  0.0979  0.3118  0.3390  4 Ho 3.22-3.58, 5 Y 3.33-3.56
Y  0.0979  0.6610  0.9728  4 Ho 3.22-3.58, 5 Y 3.33-3.56
Y  0.8257  0.3333  0.6667  6 Y 3.41-3.48, 3 Ho 3.59
Y  0.1743  0.6667  0.3333  6 Y 3.41-3.48, 3 Ho 3.59
Ho  0.5916  0.6786  0.0921  1 Ho 3.16, 3 Y 3.22-3.48
Ho  0.5916  0.9079  0.5865  1 Ho 3.16, 3 Y 3.22-3.48
Ho  0.5916  0.4135  0.3214  1 Ho 3.16, 3 Y 3.22-3.48
Ho  0.4084  0.3214  0.9079  1 Ho 3.16, 3 Y 3.22-3.48
Ho  0.4084  0.0921  0.4135  1 Ho 3.16, 3 Y 3.22-3.48
Ho  0.4084  0.5865  0.6786  1 Ho 3.16, 3 Y 3.22-3.48

Values from the calculation:
* size of the total moment: 0.000 μB/cell
* space group: No. 147
* crystal system: trigonal
* D(E_F): 1.4997 states/eV/atom

***

Model ii:
This record from Alexandria describes a geometry-optimized PrY8Ho6 structure. The functional is PBE-GGA.

a = 9.0473 Å, b = 9.0473 Å, c = 8.6482 Å
α = 58.46°, β = 58.46°, γ = 60.00°
Last column: nearest neighbours and their distance in Å.
Fractional positions:
Pr  0.0000  0.0000  0.0000  6 Ho 3.45, 6 Y 3.54
Y  0.2545  0.2809  0.5748  5 Y 3.41-3.43, 3 Ho 3.41-3.76, 1 Pr 3.54
Y  0.7191  0.1102  0.4252  5 Y 3.41-3.43, 3 Ho 3.41-3.76, 1 Pr 3.54
Y  0.1102  0.7455  0.4252  5 Y 3.41-3.43, 3 Ho 3.41-3.76, 1 Pr 3.54
Y  0.5767  0.5767  0.2699  4 Y 3.17-3.42, 3 Ho 3.36
Y  0.4233  0.4233  0.7301  4 Y 3.17-3.42, 3 Ho 3.36
Y  0.8898  0.2545  0.5748  5 Y 3.41-3.43, 3 Ho 3.41-3.76, 1 Pr 3.54
Y  0.2809  0.8898  0.5748  5 Y 3.41-3.43, 3 Ho 3.41-3.76, 1 Pr 3.54
Y  0.7455  0.7191  0.4252  5 Y 3.41-3.43, 3 Ho 3.41-3.76, 1 Pr 3.54
Ho  0.4620  0.8914  0.8785  3 Y 3.36-3.42, 1 Pr 3.45, 4 Ho 3.46-3.75
Ho  0.1086  0.2320  0.1215  3 Y 3.36-3.42, 1 Pr 3.45, 4 Ho 3.46-3.75
Ho  0.2320  0.5380  0.1215  3 Y 3.36-3.42, 1 Pr 3.45, 4 Ho 3.46-3.75
Ho  0.7680  0.4620  0.8785  3 Y 3.36-3.42, 1 Pr 3.45, 4 Ho 3.46-3.75
Ho  0.8914  0.7680  0.8785  3 Y 3.36-3.42, 1 Pr 3.45, 4 Ho 3.46-3.75
Ho  0.5380  0.1086  0.1215  3 Y 3.36-3.42, 1 Pr 3.45, 4 Ho 3.46-3.75

Values from the calculation:
* size of the total moment: 0.000 μB/cell
* space group: No. 148
* crystal system: trigonal
* D(E_F): 1.5593 states/eV/atom

***

Stability check: which of them is most stable? model ii.

***

Model i:
This record from Alexandria describes a geometry-optimized Pr4Y6Ho structure. The functional is PBE-GGA.

a = 3.6119 Å, b = 11.0547 Å, c = 11.0547 Å
α = 120.00°, β = 90.00°, γ = 90.00°
Last column: nearest neighbours and their distance in Å.
Fractional positions:
Pr  0.5000  0.8401  0.6802  6 Y 3.30-3.60, 2 Ho 3.55, 2 Pr 3.61
Pr  0.5000  0.3198  0.1599  6 Y 3.30-3.60, 2 Ho 3.55, 2 Pr 3.61
Pr  0.5000  0.8401  0.1599  6 Y 3.30-3.60, 2 Ho 3.55, 2 Pr 3.61
Pr  0.0000  0.3333  0.6667  9 Y 3.41-3.53, 2 Pr 3.61
Y  0.0000  0.5179  0.0358  5 Pr 3.53-3.60, 6 Y 3.61-3.73
Y  0.5000  0.6353  0.8176  4 Pr 3.30-3.41, 2 Y 3.61
Y  0.0000  0.5179  0.4821  5 Pr 3.53-3.60, 6 Y 3.61-3.73
Y  0.0000  0.9642  0.4821  5 Pr 3.53-3.60, 6 Y 3.61-3.73
Y  0.5000  0.1824  0.8176  4 Pr 3.30-3.41, 2 Y 3.61
Y  0.5000  0.1824  0.3647  4 Pr 3.30-3.41, 2 Y 3.61
Ho  0.0000  0.0000  0.0000  6 Pr 3.55, 2 Ho 3.61, 6 Y 3.93

Values from the calculation:
* size of the total moment: 0.000 μB/cell
* space group: No. 187
* crystal system: hexagonal
* D(E_F): 1.6405 states/eV/atom

***

Model ii:
This record from Alexandria describes a geometry-optimized Pr4Y6Ho structure. The functional is PBE-GGA.

a = 5.8143 Å, b = 5.6879 Å, c = 26.1198 Å
α = 90.00°, β = 90.00°, γ = 120.74°
Last column: nearest neighbours and their distance in Å.
Fractional positions:
Pr  0.8440  0.6880  0.5455  7 Y 3.49-3.75, 2 Pr 3.67-3.87
Pr  0.4694  0.9388  0.1226  6 Y 3.22-3.56
Pr  0.1560  0.3120  0.4545  7 Y 3.49-3.75, 2 Pr 3.67-3.87
Pr  0.5306  0.0612  0.8774  6 Y 3.22-3.56
Pr  0.8440  0.6880  0.9545  7 Y 3.49-3.75, 2 Pr 3.67-3.87
Pr  0.1560  0.3120  0.0455  7 Y 3.49-3.75, 2 Pr 3.67-3.87
Pr  0.5306  0.0612  0.6226  6 Y 3.22-3.56
Pr  0.4694  0.9388  0.3774  6 Y 3.22-3.56
Y  0.5000  0.0000  0.0000  8 Pr 3.22-3.57
Y  0.5000  0.0000  0.5000  8 Pr 3.22-3.57
Y  0.1441  0.2882  0.3165  7 Y 3.47-3.88, 4 Pr 3.56-3.73, 3 Ho 3.65-3.78
Y  0.8559  0.7118  0.6835  7 Y 3.47-3.88, 4 Pr 3.56-3.73, 3 Ho 3.65-3.78
Y  0.8559  0.7118  0.8165  7 Y 3.47-3.88, 4 Pr 3.56-3.73, 3 Ho 3.65-3.78
Y  0.1441  0.2882  0.1835  7 Y 3.47-3.88, 4 Pr 3.56-3.73, 3 Ho 3.65-3.78
Y  0.8098  0.6195  0.3930  5 Pr 3.32-3.65
Y  0.1902  0.3805  0.6070  5 Pr 3.32-3.65
Y  0.1902  0.3805  0.8930  5 Pr 3.32-3.65
Y  0.8098  0.6195  0.1070  5 Pr 3.32-3.65
Y  0.4812  0.9625  0.2500  3 Ho 3.27-3.33, 2 Pr 3.33
Y  0.5188  0.0375  0.7500  3 Ho 3.27-3.33, 2 Pr 3.33
Ho  0.8152  0.6304  0.2500  5 Y 3.27-3.65
Ho  0.1848  0.3696  0.7500  5 Y 3.27-3.65

Values from the calculation:
* size of the total moment: 0.001 μB/cell
* space group: No. 63
* crystal system: orthorhombic
* D(E_F): 1.9190 states/eV/atom

***

Stability check: which of them is most stable? model ii.

***

Model i:
This record from Alexandria describes a geometry-optimized Pr2Y2Ho5 structure. The functional is PBE-GGA.

a = 11.8796 Å, b = 6.7191 Å, c = 10.1240 Å
α = 109.38°, β = 125.92°, γ = 90.00°
Last column: nearest neighbours and their distance in Å.
Fractional positions:
Pr  0.0000  0.0103  0.0000  4 Ho 3.26-3.58, 2 Y 3.59
Pr  0.5000  0.5103  0.0000  4 Ho 3.26-3.58, 2 Y 3.59
Pr  0.2587  0.3525  0.5000  4 Ho 3.39-3.64, 2 Y 3.57, 2 Pr 3.79
Pr  0.7413  0.8525  0.5000  4 Ho 3.39-3.64, 2 Y 3.57, 2 Pr 3.79
Y  0.1214  0.6822  0.2520  4 Ho 3.36-3.66, 2 Pr 3.57-3.59, 1 Y 3.71
Y  0.8786  0.4301  0.7480  4 Ho 3.36-3.66, 2 Pr 3.57-3.59, 1 Y 3.71
Y  0.6306  0.1822  0.2520  4 Ho 3.36-3.66, 2 Pr 3.57-3.59, 1 Y 3.71
Y  0.3694  0.9301  0.7480  4 Ho 3.36-3.66, 2 Pr 3.57-3.59, 1 Y 3.71
Ho  0.2053  0.6541  0.8944  5 Ho 3.20-3.57, 1 Pr 3.26, 1 Y 3.36
Ho  0.7947  0.7597  0.1056  5 Ho 3.20-3.57, 1 Pr 3.26, 1 Y 3.36
Ho  0.1891  0.1541  0.8944  5 Ho 3.20-3.57, 1 Pr 3.26, 1 Y 3.36
Ho  0.8109  0.2597  0.1056  5 Ho 3.20-3.57, 1 Pr 3.26, 1 Y 3.36
Ho  0.3763  0.0412  0.2842  5 Ho 3.20-3.57, 1 Y 3.39, 2 Pr 3.41-3.58
Ho  0.6237  0.7571  0.7158  5 Ho 3.20-3.57, 1 Y 3.39, 2 Pr 3.41-3.58
Ho  0.4078  0.5412  0.2842  5 Ho 3.20-3.57, 1 Y 3.39, 2 Pr 3.41-3.58
Ho  0.5922  0.2571  0.7158  5 Ho 3.20-3.57, 1 Y 3.39, 2 Pr 3.41-3.58
Ho  0.0028  0.6489  0.5000  6 Ho 3.22-3.61, 1 Pr 3.39, 2 Y 3.59
Ho  0.9972  0.1489  0.5000  6 Ho 3.22-3.61, 1 Pr 3.39, 2 Y 3.59

Values from the calculation:
* size of the total moment: 0.000 μB/cell
* space group: No. 46
* crystal system: orthorhombic
* D(E_F): 1.5168 states/eV/atom

***

Model ii:
This record from Alexandria describes a geometry-optimized Pr2Y2Ho5 structure. The functional is PBE-GGA.

a = 3.4971 Å, b = 8.2576 Å, c = 12.5863 Å
α = 120.63°, β = 97.99°, γ = 90.00°
Last column: nearest neighbours and their distance in Å.
Fractional positions:
Pr  0.8181  0.7804  0.6361  2 Pr 3.50, 4 Ho 3.51-3.61
Pr  0.1819  0.2196  0.3639  2 Pr 3.50, 4 Ho 3.51-3.61
Y  0.5470  0.7379  0.0939  7 Ho 3.20-3.58, 3 Y 3.38-3.50
Y  0.4530  0.2621  0.9061  7 Ho 3.20-3.58, 3 Y 3.38-3.50
Ho  0.6906  0.8511  0.3813  1 Y 3.20, 6 Ho 3.22-3.50, 1 Pr 3.51
Ho  0.3094  0.1489  0.6187  1 Y 3.20, 6 Ho 3.22-3.50, 1 Pr 3.51
Ho  0.9035  0.5416  0.8071  5 Ho 3.28-3.50, 4 Y 3.54-3.58, 1 Pr 3.57
Ho  0.0965  0.4584  0.1929  5 Ho 3.28-3.50, 4 Y 3.54-3.58, 1 Pr 3.57
Ho  0.0000  0.0000  0.0000  4 Ho 3.28-3.50, 4 Y 3.42

Values from the calculation:
* size of the total moment: 0.000 μB/cell
* space group: No. 12
* crystal system: monoclinic
* D(E_F): 1.4897 states/eV/atom

***

Stability check: which of them is most stable? model i.

***

Model i:
This record from Alexandria describes a geometry-optimized Pr2Y3Ho structure. The functional is PBE-GGA.

a = 5.5943 Å, b = 8.9697 Å, c = 12.6494 Å
α = 42.29°, β = 77.22°, γ = 71.83°
Last column: nearest neighbours and their distance in Å.
Fractional positions:
Pr  0.8935  0.5472  0.6658  2 Ho 3.28, 2 Pr 3.56, 1 Y 3.59
Pr  0.1065  0.4528  0.3342  2 Ho 3.28, 2 Pr 3.56, 1 Y 3.59
Pr  0.5947  0.2209  0.5898  2 Y 3.41-3.44, 2 Ho 3.49-3.74, 3 Pr 3.51-3.56
Pr  0.4053  0.7791  0.4102  2 Y 3.41-3.44, 2 Ho 3.49-3.74, 3 Pr 3.51-3.56
Y  0.0845  0.9368  0.8941  5 Y 3.47-3.64, 4 Ho 3.60-3.72, 4 Pr 3.71-3.82
Y  0.9155  0.0632  0.1059  5 Y 3.47-3.64, 4 Ho 3.60-3.72, 4 Pr 3.71-3.82
Y  0.7212  0.6459  0.9117  8 Y 3.30-3.70, 2 Pr 3.41-3.69, 1 Ho 3.53
Y  0.2788  0.3541  0.0883  8 Y 3.30-3.70, 2 Pr 3.41-3.69, 1 Ho 3.53
Y  0.7492  0.1568  0.3448  4 Pr 3.44-3.71, 1 Ho 3.56, 6 Y 3.57-3.85
Y  0.2508  0.8432  0.6552  4 Pr 3.44-3.71, 1 Ho 3.56, 6 Y 3.57-3.85
Ho  0.4413  0.2704  0.8470  1 Ho 3.21, 3 Pr 3.28-3.49, 2 Y 3.53-3.56
Ho  0.5587  0.7296  0.1530  1 Ho 3.21, 3 Pr 3.28-3.49, 2 Y 3.53-3.56

Values from the calculation:
* size of the total moment: 0.000 μB/cell
* space group: No. 12
* crystal system: monoclinic
* D(E_F): 1.6951 states/eV/atom

***

Model ii:
This record from Alexandria describes a geometry-optimized Pr2Y3Ho structure. The functional is PBE-GGA.

a = 3.4169 Å, b = 6.6964 Å, c = 17.7658 Å
α = 90.00°, β = 90.00°, γ = 90.00°
Last column: nearest neighbours and their distance in Å.
Fractional positions:
Pr  0.5000  0.7618  0.1504  1 Ho 3.20, 6 Y 3.35-3.55, 2 Pr 3.42
Pr  0.0000  0.2618  0.3496  1 Ho 3.20, 6 Y 3.35-3.55, 2 Pr 3.42
Pr  0.0000  0.7382  0.6504  1 Ho 3.20, 6 Y 3.35-3.55, 2 Pr 3.42
Pr  0.5000  0.2382  0.8496  1 Ho 3.20, 6 Y 3.35-3.55, 2 Pr 3.42
Y  0.0000  0.0000  0.0000  2 Y 3.42, 4 Pr 3.55, 4 Ho 3.76
Y  0.5000  0.5000  0.5000  2 Y 3.42, 4 Pr 3.55, 4 Ho 3.76
Y  0.5000  0.7428  0.8226  4 Pr 3.35-3.50, 2 Y 3.42, 1 Ho 3.55
Y  0.5000  0.2572  0.1774  4 Pr 3.35-3.50, 2 Y 3.42, 1 Ho 3.55
Y  0.0000  0.2428  0.6774  4 Pr 3.35-3.50, 2 Y 3.42, 1 Ho 3.55
Y  0.0000  0.7572  0.3226  4 Pr 3.35-3.50, 2 Y 3.42, 1 Ho 3.55
Ho  0.0000  0.0000  0.5000  2 Pr 3.20, 2 Ho 3.42, 2 Y 3.55
Ho  0.5000  0.5000  0.0000  2 Pr 3.20, 2 Ho 3.42, 2 Y 3.55

Values from the calculation:
* size of the total moment: 0.000 μB/cell
* space group: No. 58
* crystal system: orthorhombic
* D(E_F): 1.5302 states/eV/atom

***

Stability check: which of them is most stable? model i.

***

Model i:
This record from Alexandria describes a geometry-optimized Pr7Y2Ho2 structure. The functional is PBE-GGA.

a = 6.1813 Å, b = 8.1990 Å, c = 8.1990 Å
α = 90.02°, β = 74.65°, γ = 74.65°
Last column: nearest neighbours and their distance in Å.
Fractional positions:
Pr  0.1805  0.0491  0.5863  2 Pr 3.20-3.34, 2 Y 3.40-3.53, 2 Ho 3.42-3.58
Pr  0.8195  0.4137  0.9509  2 Pr 3.20-3.34, 2 Y 3.40-3.53, 2 Ho 3.42-3.58
Pr  0.8195  0.9509  0.4137  2 Pr 3.20-3.34, 2 Y 3.40-3.53, 2 Ho 3.42-3.58
Pr  0.1805  0.5863  0.0491  2 Pr 3.20-3.34, 2 Y 3.40-3.53, 2 Ho 3.42-3.58
Pr  0.0000  0.0000  0.0000  4 Pr 3.34, 2 Ho 3.61
Pr  0.8011  0.4252  0.4252  6 Pr 3.47-3.86, 3 Ho 3.60-3.87, 2 Y 3.76
Pr  0.1989  0.5748  0.5748  6 Pr 3.47-3.86, 3 Ho 3.60-3.87, 2 Y 3.76
Y  0.5000  0.7877  0.2123  6 Pr 3.40-3.76, 2 Ho 3.52
Y  0.5000  0.2123  0.7877  6 Pr 3.40-3.76, 2 Ho 3.52
Ho  0.5880  0.7699  0.7699  7 Pr 3.42-3.71, 2 Y 3.52
Ho  0.4120  0.2301  0.2301  7 Pr 3.42-3.71, 2 Y 3.52

Values from the calculation:
* size of the total moment: 0.000 μB/cell
* space group: No. 12
* crystal system: monoclinic
* D(E_F): 1.4119 states/eV/atom

***

Model ii:
This record from Alexandria describes a geometry-optimized Pr7Y2Ho2 structure. The functional is PBE-GGA.

a = 8.3091 Å, b = 7.0389 Å, c = 7.0389 Å
α = 79.44°, β = 78.13°, γ = 78.13°
Last column: nearest neighbours and their distance in Å.
Fractional positions:
Pr  0.1788  0.0855  0.4791  5 Pr 3.37-3.65, 3 Ho 3.44-3.68, 1 Y 3.48
Pr  0.8212  0.5209  0.9145  5 Pr 3.37-3.65, 3 Ho 3.44-3.68, 1 Y 3.48
Pr  0.8212  0.9145  0.5209  5 Pr 3.37-3.65, 3 Ho 3.44-3.68, 1 Y 3.48
Pr  0.1788  0.4791  0.0855  5 Pr 3.37-3.65, 3 Ho 3.44-3.68, 1 Y 3.48
Pr  0.0000  0.0000  0.0000  6 Pr 3.65-4.01
Pr  0.4453  0.7386  0.7386  1 Ho 3.30, 4 Pr 3.47-3.54, 4 Y 3.55-3.60
Pr  0.5547  0.2614  0.2614  1 Ho 3.30, 4 Pr 3.47-3.54, 4 Y 3.55-3.60
Y  0.5000  0.2128  0.7872  6 Pr 3.48-3.60, 2 Ho 3.59, 1 Y 3.83
Y  0.5000  0.7872  0.2128  6 Pr 3.48-3.60, 2 Ho 3.59, 1 Y 3.83
Ho  0.8109  0.4478  0.4478  7 Pr 3.30-3.68, 2 Y 3.59, 1 Ho 3.61
Ho  0.1891  0.5522  0.5522  7 Pr 3.30-3.68, 2 Y 3.59, 1 Ho 3.61

Values from the calculation:
* size of the total moment: 0.001 μB/cell
* space group: No. 12
* crystal system: monoclinic
* D(E_F): 1.3019 states/eV/atom

***

Stability check: which of them is most stable? model i.